Record 1
The following is a DFT calculation (PBE-GGA) of Be2SiH8 after structural relaxation.

Results
calculated total energy: -76.0 eV per cell
Fermi-level density of states: 0.00 states/eV/cell

Cell: 10.1378 4.6199 3.9521 Å, 90.00 92.99 90.00°
Space group C2/m (No. 12)
One atom of each set of equivalent atoms:
Be  0.1651  0.0000  0.3959 (multiplicity 4)
Si  0.0000  0.0000  0.0000 (multiplicity 2)
H  0.0855  0.2391  0.2049 (multiplicity 8)
H  0.1104  0.0000  0.7276 (multiplicity 4)
H  0.2037  0.5000  0.6646 (multiplicity 4)

Record 2
The following is a DFT calculation (PBE-GGA) of BeSiH after structural relaxation.

Results
energy above the lowest structure with this stoichiometry: 0.295 kcal/mol of atoms

Cell: 6.8567 3.9432 5.5381 Å, 90.00 114.49 90.00°
Space group C2/m (No. 12)
One atom of each set of equivalent atoms:
Be  0.0000  0.2471  0.0000 (multiplicity 4)
Si  0.1388  0.5000  0.4213 (multiplicity 4)
H  0.1456  0.0000  0.9692 (multiplicity 4)

Record 3
The following is a DFT calculation (PBE-GGA) of BeSiH2 after structural relaxation.

Results
energy above the lowest structure with this stoichiometry: 6.441 kcal/mol of atoms
Fermi-level density of states: 3.39 states/eV/cell

Cell: 4.9119 4.9119 4.9119 Å, 90.00 90.00 90.00°
Space group Fm-3m (No. 225)
One atom of each set of equivalent atoms:
Be  0.0000  0.0000  0.0000 (multiplicity 4)
Si  0.0000  0.0000  0.5000 (multiplicity 4)
H  0.2500  0.2500  0.2500 (multiplicity 8)